1.
The following is a DFT calculation (PBE) of crystalline CaMg2InCu at its relaxed geometry.

Cell: 4.9774 4.9774 5.0079 Å, 90.00 90.00 90.00°
Atoms (fractional coordinates):
Ca: 0.0000 0.0000 0.0000
Mg: 0.0000 0.5000 0.5000
Mg: 0.5000 0.0000 0.5000
In: 0.5000 0.5000 0.0000
Cu: 0.5000 0.5000 0.5000

Properties
- calculated density (Mg/m³) = 3.57
- space-group type = P4/mmm
- N(E_F) (states/eV per atom) = 0.483
- energy (eV/cell) = -12.367
- size of the total moment (μB per cell) = 0.0


2.
The following is a DFT calculation (PBE) of crystalline Ca2MgIn6Cu at its relaxed geometry.

Cell: 13.2063 13.2063 13.2063 Å, 31.09 31.09 31.09°
Atoms (fractional coordinates):
Ca: 0.1052 0.1052 0.1052
Ca: 0.2781 0.2781 0.2781
Ca: 0.7219 0.7219 0.7219
Ca: 0.8948 0.8948 0.8948
Mg: 0.4259 0.4259 0.4259
Mg: 0.5741 0.5741 0.5741
In: 0.0795 0.6646 0.6646
In: 0.2179 0.2179 0.6602
In: 0.2179 0.6602 0.2179
In: 0.3354 0.3354 0.9205
In: 0.3354 0.9205 0.3354
In: 0.3398 0.7821 0.7821
In: 0.6602 0.2179 0.2179
In: 0.6646 0.0795 0.6646
In: 0.6646 0.6646 0.0795
In: 0.7821 0.3398 0.7821
In: 0.7821 0.7821 0.3398
In: 0.9205 0.3354 0.3354
Cu: 0.0000 0.0000 0.0000
Cu: 0.5000 0.5000 0.5000

Properties
- calculated density (Mg/m³) = 5.22
- space-group type = R-3m
- N(E_F) (states/eV per atom) = 0.334
- energy (eV/cell) = -55.152
- size of the total moment (μB per cell) = 0.0


3.
The following is a DFT calculation (PBE) of crystalline Ca2InCuN at its relaxed geometry.

Cell: 5.0650 5.0650 3.9037 Å, 90.00 90.00 90.00°
Atoms (fractional coordinates):
Ca: 0.0000 0.5000 0.0000
Ca: 0.5000 0.0000 0.0000
In: 0.0000 0.0000 0.5000
Cu: 0.5000 0.5000 0.5000
N: 0.5000 0.5000 0.0000

Properties
- formation energy from raw total energies (eV/atom) = -0.342
- calculated density (Mg/m³) = 4.52
- space-group type = P4/mmm
- N(E_F) (states/eV per atom) = 0.808
- size of the total moment (μB per cell) = 0.0


4.
The following is a DFT calculation (PBE) of crystalline NaCaInCu at its relaxed geometry.

Cell: 5.0242 5.0242 5.0242 Å, 60.00 60.00 60.00°
Atoms (fractional coordinates):
Na: 0.0000 0.0000 0.0000
Ca: 0.2500 0.2500 0.2500
In: 0.7500 0.7500 0.7500
Cu: 0.5000 0.5000 0.5000

Properties
- calculated density (Mg/m³) = 4.47
- space-group type = F-43m
- N(E_F) (states/eV per atom) = 0.561
- energy (eV/cell) = -10.452
- size of the total moment (μB per cell) = 0.0


5.
The following is a DFT calculation (PBE) of crystalline Ca2In6CuNi at its relaxed geometry.

Cell: 7.1518 7.1518 7.1518 Å, 60.00 60.00 60.00°
Atoms (fractional coordinates):
Ca: 0.2500 0.2500 0.2500
Ca: 0.7500 0.7500 0.7500
In: 0.2482 0.2482 0.7518
In: 0.2482 0.7518 0.2482
In: 0.2482 0.7518 0.7518
In: 0.7518 0.2482 0.2482
In: 0.7518 0.2482 0.7518
In: 0.7518 0.7518 0.2482
Cu: 0.5000 0.5000 0.5000
Ni: 0.0000 0.0000 0.0000

Properties
- calculated density (Mg/m³) = 5.72
- space-group type = Fm-3m
- N(E_F) (states/eV per atom) = 0.773
- energy (eV/cell) = -31.378
- size of the total moment (μB per cell) = 0.0


6.
The following is a DFT calculation (PBE) of crystalline Ca2InCu2Ni5 at its relaxed geometry.

Cell: 9.0278 9.0278 3.7832 Å, 90.00 90.00 90.00°
Atoms (fractional coordinates):
Ca: 0.1802 0.3198 0.0000
Ca: 0.3198 0.8198 0.0000
Ca: 0.6802 0.1802 0.0000
Ca: 0.8198 0.6802 0.0000
In: 0.0000 0.0000 0.0000
In: 0.5000 0.5000 0.0000
Cu: 0.1153 0.6153 0.0000
Cu: 0.3847 0.1153 0.0000
Cu: 0.6153 0.8847 0.0000
Cu: 0.8847 0.3847 0.0000
Ni: 0.0000 0.5000 0.5000
Ni: 0.0635 0.7841 0.5000
Ni: 0.2159 0.0635 0.5000
Ni: 0.2841 0.5635 0.5000
Ni: 0.4365 0.2841 0.5000
Ni: 0.5000 0.0000 0.5000
Ni: 0.5635 0.7159 0.5000
Ni: 0.7159 0.4365 0.5000
Ni: 0.7841 0.9365 0.5000
Ni: 0.9365 0.2159 0.5000

Properties
- calculated density (Mg/m³) = 6.63
- space-group type = P4/mbm
- N(E_F) (states/eV per atom) = 0.526
- energy (eV/cell) = -89.383
- size of the total moment (μB per cell) = 0.0